(1)
! PBE HoAl6Ni4, relaxed; values from VASP
&SYSTEM
  ibrav = 0, nat = 11, ntyp = 3
/
ATOMIC_SPECIES
Ho 164.93 Ho.upf
Al 26.98 Al.upf
Ni 58.69 Ni.upf
CELL_PARAMETERS angstrom
-3.117 3.117 4.417
3.117 -3.117 4.417
3.117 3.117 -4.417
ATOMIC_POSITIONS angstrom
Ho 0.000 0.000 0.000
Al 3.117 0.000 0.000
Al 1.143 -1.143 2.617
Al -1.143 1.143 2.617
Al 0.000 3.117 0.000
Al 1.974 1.974 1.800
Al 1.143 1.143 6.217
Ni 2.071 2.071 -0.678
Ni 1.046 -1.046 5.094
Ni 1.046 1.046 3.739
Ni -1.046 1.046 5.094
! **D(E_F)**: 2.93 states/eV/cell
! **E_form**: -0.557 eV/atom
! **SG**: No. 121

(2)
! PBE FeSb2TeRh, relaxed; values from VASP
&SYSTEM
  ibrav = 0, nat = 5, ntyp = 4
/
ATOMIC_SPECIES
Fe 55.84 Fe.upf
Sb 121.76 Sb.upf
Te 127.60 Te.upf
Rh 102.91 Rh.upf
CELL_PARAMETERS angstrom
4.776 0.000 0.000
0.000 4.776 0.000
0.000 0.000 5.003
ATOMIC_POSITIONS angstrom
Fe 0.000 0.000 0.000
Sb 0.000 2.388 0.000
Sb 2.388 0.000 0.000
Te 0.000 0.000 2.502
Rh 2.388 2.388 2.502
! **Energy relative to the lowest polymorph listed for this composition**: 0 meV/atom
! **Formation energy (no corrections)**: 0.648 eV per atom
! **D(E_F)**: 4.70 states/eV/cell
! **SG**: No. 123

(3)
! PBE HSeBr2, relaxed; values from VASP
&SYSTEM
  ibrav = 0, nat = 4, ntyp = 3
/
ATOMIC_SPECIES
H 1.01 H.upf
Se 78.96 Se.upf
Br 79.90 Br.upf
CELL_PARAMETERS angstrom
3.825 -2.788 0.000
3.825 2.788 0.000
-0.074 0.000 5.244
ATOMIC_POSITIONS angstrom
H 0.000 0.000 0.000
Se 1.528 0.000 0.018
Br 1.662 0.000 2.643
Br 5.333 0.000 0.018
! **Energy relative to the lowest polymorph listed for this composition**: 92 meV/atom
! **D(E_F)**: 1.58 states/eV/cell
! **SG**: No. 8

(4)
! PBE Cd2AgPd5Au, relaxed; values from VASP
&SYSTEM
  ibrav = 0, nat = 18, ntyp = 4
/
ATOMIC_SPECIES
Cd 112.41 Cd.upf
Ag 107.87 Ag.upf
Pd 106.42 Pd.upf
Au 196.97 Au.upf
CELL_PARAMETERS angstrom
-3.400 3.400 7.289
3.400 -3.400 7.289
3.400 3.400 -7.289
ATOMIC_POSITIONS angstrom
Cd 4.304 0.904 0.000
Cd 0.904 2.496 0.000
Cd 2.496 0.904 7.289
Cd -0.904 2.496 7.289
Ag 0.000 0.000 3.645
Ag 0.000 0.000 10.934
Pd 0.000 0.000 0.000
Pd 1.849 1.551 -2.193
Pd 1.849 -1.551 5.096
Pd 1.849 1.551 2.193
Pd 1.849 -1.551 9.482
Pd 0.000 0.000 7.289
Pd 1.551 4.951 -2.193
Pd 1.551 1.849 5.096
Pd 1.551 4.951 2.193
Pd 1.551 1.849 9.482
Au 3.400 0.000 3.645
Au 0.000 3.400 3.645
! **D(E_F)**: 7.24 states/eV/cell
! **E_form**: 0.140 eV/atom
! **SG**: No. 140

(5)
! PBE In2TcTe, relaxed; values from VASP
&SYSTEM
  ibrav = 0, nat = 4, ntyp = 3
/
ATOMIC_SPECIES
In 114.82 In.upf
Tc 98.00 Tc.upf
Te 127.60 Te.upf
CELL_PARAMETERS angstrom
-1.775 2.513 4.868
1.775 -2.513 4.868
1.775 2.513 -4.868
ATOMIC_POSITIONS angstrom
In 0.000 0.000 2.215
In 0.000 0.000 7.521
Tc 1.775 0.000 0.000
Te 0.000 2.513 0.000
! **Formation energy (no corrections)**: 0.425 eV per atom
! **D(E_F)**: 2.95 states/eV/cell
! **SG**: No. 71

Number 1: ρ 5.434 g cm⁻³, calculated volume 15.6 Å³ per atom. Number 2: ρ 7.709 g cm⁻³, calculated volume 22.8 Å³ per atom. Number 3: ρ 3.560 g cm⁻³, calculated volume 28.0 Å³ per atom. Number 4: ρ 10.461 g cm⁻³, calculated volume 18.7 Å³ per atom. Number 5: ρ 8.702 g cm⁻³, calculated volume 21.7 Å³ per atom.